Density functional theory data (SCAN) for Cr5P at its PBEsol-relaxed geometry. Values from VASP.

Output
* E above lowest polymorph: 0.462 eV per atom

Structure (Quantum ESPRESSO input):
```
&SYSTEM
  ibrav = 0, nat = 6, ntyp = 2
/
ATOMIC_SPECIES
Cr 52.00 Cr.upf
P 30.97 P.upf
CELL_PARAMETERS angstrom
0.000 3.252 3.252
3.252 0.000 3.252
3.252 3.252 0.000
ATOMIC_POSITIONS crystal
Cr 0.000 0.000 0.000
Cr 0.128 0.624 0.624
Cr 0.624 0.128 0.624
Cr 0.624 0.624 0.128
Cr 0.624 0.624 0.624
P 0.250 0.250 0.250
```

---

Density functional theory data (SCAN) for Cr2P at its PBEsol-relaxed geometry. Values from VASP.

Structure (Quantum ESPRESSO input):
```
&SYSTEM
  ibrav = 0, nat = 6, ntyp = 2
/
ATOMIC_SPECIES
Cr 52.00 Cr.upf
P 30.97 P.upf
CELL_PARAMETERS angstrom
0.000 3.285 3.285
3.285 0.000 3.285
3.285 3.285 0.000
ATOMIC_POSITIONS crystal
Cr 0.000 0.000 0.000
Cr 0.000 0.000 0.500
Cr 0.000 0.500 0.000
Cr 0.500 0.000 0.000
P 0.375 0.375 0.375
P 0.625 0.625 0.625
```

---

Density functional theory data (SCAN) for CrP3 at its PBEsol-relaxed geometry. Values from VASP.

Output
* E above lowest polymorph: 0.000 eV per atom

Structure (Quantum ESPRESSO input):
```
&SYSTEM
  ibrav = 0, nat = 4, ntyp = 2
/
ATOMIC_SPECIES
Cr 52.00 Cr.upf
P 30.97 P.upf
CELL_PARAMETERS angstrom
-1.573 2.135 3.793
1.573 -2.135 3.793
1.573 2.135 -3.793
ATOMIC_POSITIONS crystal
Cr 0.000 0.000 0.000
P 0.280 0.780 0.500
P 0.500 0.500 0.000
P 0.720 0.220 0.500
```

---

Density functional theory data (SCAN) for Cr5P at its PBEsol-relaxed geometry. Values from VASP.

Output
* E above lowest polymorph: 0.064 eV per atom

Structure (Quantum ESPRESSO input):
```
&SYSTEM
  ibrav = 0, nat = 6, ntyp = 2
/
ATOMIC_SPECIES
Cr 52.00 Cr.upf
P 30.97 P.upf
CELL_PARAMETERS angstrom
2.845 0.000 0.000
0.000 2.845 0.000
0.000 0.000 8.108
ATOMIC_POSITIONS crystal
Cr 0.000 0.000 0.000
Cr 0.000 0.000 0.339
Cr 0.000 0.000 0.661
Cr 0.500 0.500 0.170
Cr 0.500 0.500 0.830
P 0.500 0.500 0.500
```

---

no.,DFT formation energy (eV per atom),energy (eV/atom)
1,0.34,-16.717
2,0.43,-15.288
3,0.33,-12.064
4,-0.06,-17.115